Below is a geometry-optimized CaVIn2Re structure, with properties calculated at the PBE level.

## Properties
Crystal system   tetragonal
Space-group type   No. 123
Energy of formation   2.3709 eV/atom

Cell lengths 5.236, 4.223, 5.236 Å; angles 90.00, 90.00, 90.00 degrees
Site moments in Bohr magnetons follow the coordinates.
Fractional coordinates of all 5 atoms:
Re 0.500 0.500 0.500  -0.09
Ca 0.000 0.000 0.000  0.12
V 0.000 0.500 0.000  1.58
In 0.000 0.000 0.500  0.00
In 0.500 0.000 0.000  -0.03